P | Density functional theory data (PBE) for a relaxed structure of K2NaHg3.

It has space group Cmcm (No. 63), with a = 14.267 Å, b = 9.858 Å, c = 6.354 Å, α = 90.00°, β = 90.00° and γ = 90.00°. The inequivalent atoms are K at (0.184, 0.171, 0.250), Na at (0.000, 0.272, 0.750), Hg at (0.000, 0.000, 0.000) and Hg at (0.115, 0.500, 0.000).

For the theoretical density, the calculation gives 5.225 g/cm³. As for the density of states at the Fermi level: 2.744 states/eV/f.u.



Q | Density functional theory data (PBE) for a relaxed structure of K2NaHg3.

It has space group Imm2 (No. 44), with a = 4.710 Å, b = 4.960 Å, c = 19.432 Å, α = 90.00°, β = 90.00° and γ = 90.00°. The inequivalent atoms are K at (0.000, 0.000, 0.000), K at (0.000, 0.500, 0.280), Na at (0.000, 0.000, 0.602), Hg at (0.000, 0.000, 0.443), Hg at (0.000, 0.500, 0.693) and Hg at (0.000, 0.500, 0.847).

For the theoretical density, the calculation gives 5.142 g/cm³. As for the density of states at the Fermi level: 2.720 states/eV/f.u.



The most stable of them is P.



P | Density functional theory data (PBE) for a relaxed structure of K3Na6Hg.

It has space group Cmc2_1 (No. 36), with a = 10.061 Å, b = 27.778 Å, c = 6.506 Å, α = 90.00°, β = 90.00° and γ = 90.00°. The inequivalent atoms are K at (0.000, 0.130, 0.000), K at (0.201, 0.379, 0.015), Na at (0.000, 0.265, 0.182), Na at (0.000, 0.466, 0.505), Na at (0.170, 0.003, 0.246), Na at (0.170, 0.262, 0.664) and Hg at (0.000, 0.353, 0.511).

For the theoretical density, the calculation gives 1.665 g/cm³. As for the density of states at the Fermi level: 6.355 states/eV/f.u.



Q | Density functional theory data (PBE) for a relaxed structure of K3Na6Hg.

It has space group Fm-3m (No. 225), with a = 12.875 Å, b = 12.875 Å, c = 12.875 Å, α = 90.00°, β = 90.00° and γ = 90.00°. The inequivalent atoms are K at (0.000, 0.000, 0.000), K at (0.250, 0.250, 0.250), Na at (0.000, 0.000, 0.274) and Hg at (0.000, 0.000, 0.500).

For the theoretical density, the calculation gives 1.419 g/cm³. As for the density of states at the Fermi level: 5.698 states/eV/f.u.



The most stable of them is P.



P | Density functional theory data (PBE) for a relaxed structure of KNaNiHg2.

It has space group P4/mmm (No. 123), with a = 6.260 Å, b = 6.260 Å, c = 5.723 Å, α = 90.00°, β = 90.00° and γ = 90.00°. The inequivalent atoms are K at (0.000, 0.000, 0.000), Na at (0.500, 0.500, 0.500), Ni at (0.000, 0.000, 0.500) and Hg at (0.000, 0.500, 0.000).

For the theoretical density, the calculation gives 3.865 g/cm³. As for the density of states at the Fermi level: 17.370 states/eV/f.u.



Q | Density functional theory data (PBE) for a relaxed structure of KNaNiHg2.

It has space group P4/mmm (No. 123), with a = 5.155 Å, b = 5.155 Å, c = 5.316 Å, α = 90.00°, β = 90.00° and γ = 90.00°. The inequivalent atoms are K at (0.000, 0.000, 0.000), Na at (0.500, 0.500, 0.000), Ni at (0.500, 0.500, 0.500) and Hg at (0.000, 0.500, 0.500).

For the theoretical density, the calculation gives 6.135 g/cm³. As for the density of states at the Fermi level: 2.589 states/eV/f.u.



The most stable of them is Q.



P | Density functional theory data (PBE) for a relaxed structure of KNa2HgP.

It has space group P4/mmm (No. 123), with a = 5.466 Å, b = 5.466 Å, c = 6.301 Å, α = 90.00°, β = 90.00° and γ = 90.00°. The inequivalent atoms are K at (0.000, 0.000, 0.000), Na at (0.000, 0.500, 0.500), Hg at (0.500, 0.500, 0.000) and P at (0.000, 0.000, 0.500).

For the theoretical density, the calculation gives 2.793 g/cm³. As for the density of states at the Fermi level: 0.528 states/eV/f.u.



Q | Density functional theory data (PBE) for a relaxed structure of KNa2HgP.

It has space group P4/mmm (No. 123), with a = 6.377 Å, b = 6.377 Å, c = 5.373 Å, α = 90.00°, β = 90.00° and γ = 90.00°. The inequivalent atoms are K at (0.000, 0.000, 0.000), Na at (0.000, 0.500, 0.000), Hg at (0.500, 0.500, 0.500) and P at (0.000, 0.000, 0.500).

For the theoretical density, the calculation gives 2.407 g/cm³. As for the density of states at the Fermi level: 2.897 states/eV/f.u.



The most stable of them is P.



P | Density functional theory data (PBE) for a relaxed structure of KNa2HgPb.

It has space group P4/mmm (No. 123), with a = 6.010 Å, b = 6.010 Å, c = 6.003 Å, α = 90.00°, β = 90.00° and γ = 90.00°. The inequivalent atoms are K at (0.000, 0.000, 0.000), Na at (0.000, 0.500, 0.500), Hg at (0.500, 0.500, 0.000) and Pb at (0.500, 0.500, 0.500).

For the theoretical density, the calculation gives 3.774 g/cm³. As for the density of states at the Fermi level: 3.115 states/eV/f.u.



Q | Density functional theory data (PBE) for a relaxed structure of KNa2HgPb.

It has space group P4/mmm (No. 123), with a = 5.849 Å, b = 5.849 Å, c = 5.858 Å, α = 90.00°, β = 90.00° and γ = 90.00°. The inequivalent atoms are K at (0.000, 0.000, 0.000), Na at (0.000, 0.500, 0.500), Hg at (0.500, 0.500, 0.500) and Pb at (0.500, 0.500, 0.000).

For the theoretical density, the calculation gives 4.084 g/cm³. As for the density of states at the Fermi level: 4.286 states/eV/f.u.



The most stable of them is P.



P | Density functional theory data (PBE) for a relaxed structure of KNaHg2Pd.

It has space group P4/mmm (No. 123), with a = 5.374 Å, b = 5.374 Å, c = 5.788 Å, α = 90.00°, β = 90.00° and γ = 90.00°. The inequivalent atoms are K at (0.000, 0.000, 0.000), Na at (0.500, 0.500, 0.000), Hg at (0.000, 0.500, 0.500) and Pd at (0.000, 0.000, 0.500).

For the theoretical density, the calculation gives 5.660 g/cm³. As for the density of states at the Fermi level: 3.222 states/eV/f.u.



Q | Density functional theory data (PBE) for a relaxed structure of KNaHg2Pd.

It has space group P4/mmm (No. 123), with a = 5.390 Å, b = 5.390 Å, c = 5.362 Å, α = 90.00°, β = 90.00° and γ = 90.00°. The inequivalent atoms are K at (0.000, 0.000, 0.000), Na at (0.500, 0.500, 0.000), Hg at (0.000, 0.500, 0.500) and Pd at (0.500, 0.500, 0.500).

For the theoretical density, the calculation gives 6.073 g/cm³. As for the density of states at the Fermi level: 2.448 states/eV/f.u.



The most stable of them is Q.



P | Density functional theory data (PBE) for a relaxed structure of K2NaHgPd.

It has space group P4/mmm (No. 123), with a = 6.169 Å, b = 6.169 Å, c = 5.535 Å, α = 90.00°, β = 90.00° and γ = 90.00°. The inequivalent atoms are K at (0.000, 0.500, 0.000), Na at (0.000, 0.000, 0.500), Hg at (0.500, 0.500, 0.500) and Pd at (0.000, 0.000, 0.000).

For the theoretical density, the calculation gives 3.217 g/cm³. As for the density of states at the Fermi level: 3.027 states/eV/f.u.



Q | Density functional theory data (PBE) for a relaxed structure of K2NaHgPd.

It has space group P4/mmm (No. 123), with a = 6.221 Å, b = 6.221 Å, c = 5.331 Å, α = 90.00°, β = 90.00° and γ = 90.00°. The inequivalent atoms are K at (0.000, 0.500, 0.000), Na at (0.000, 0.000, 0.500), Hg at (0.500, 0.500, 0.500) and Pd at (0.500, 0.500, 0.000).

For the theoretical density, the calculation gives 3.285 g/cm³. As for the density of states at the Fermi level: 2.042 states/eV/f.u.



The most stable of them is Q.



P | Density functional theory data (PBE) for a relaxed structure of KRbNa2Hg.

It has space group P2_1/m (No. 11), with a = 9.984 Å, b = 4.472 Å, c = 11.625 Å, α = 90.00°, β = 102.92° and γ = 90.00°. The inequivalent atoms are K at (0.181, 0.250, 0.106), Rb at (0.332, 0.250, 0.769), Na at (0.027, 0.250, 0.388), Na at (0.414, 0.250, 0.403) and Hg at (0.246, 0.750, 0.502).

For the theoretical density, the calculation gives 2.436 g/cm³. As for the density of states at the Fermi level: 2.185 states/eV/f.u.



Q | Density functional theory data (PBE) for a relaxed structure of KRbNa2Hg.

It has space group P4/mmm (No. 123), with a = 6.190 Å, b = 6.190 Å, c = 6.641 Å, α = 90.00°, β = 90.00° and γ = 90.00°. The inequivalent atoms are K at (0.000, 0.000, 0.000), Rb at (0.500, 0.500, 0.000), Na at (0.000, 0.500, 0.500) and Hg at (0.000, 0.000, 0.500).

For the theoretical density, the calculation gives 2.422 g/cm³. As for the density of states at the Fermi level: 3.609 states/eV/f.u.



R | Density functional theory data (PBE) for a relaxed structure of KRbNa2Hg.

It has space group P4/mmm (No. 123), with a = 6.165 Å, b = 6.165 Å, c = 6.846 Å, α = 90.00°, β = 90.00° and γ = 90.00°. The inequivalent atoms are K at (0.000, 0.000, 0.000), Rb at (0.500, 0.500, 0.000), Na at (0.000, 0.500, 0.500) and Hg at (0.500, 0.500, 0.500).

For the theoretical density, the calculation gives 2.369 g/cm³. As for the density of states at the Fermi level: 3.258 states/eV/f.u.



The most stable of them is P.



P | Density functional theory data (PBE) for a relaxed structure of KRbNaHg2.

It has space group Imm2 (No. 44), with a = 4.296 Å, b = 5.882 Å, c = 16.331 Å, α = 90.00°, β = 90.00° and γ = 90.00°. The inequivalent atoms are K at (0.000, 0.000, 0.000), Rb at (0.000, 0.500, 0.223), Na at (0.000, 0.500, 0.864), Hg at (0.000, 0.000, 0.530) and Hg at (0.000, 0.500, 0.667).

For the theoretical density, the calculation gives 4.416 g/cm³. As for the density of states at the Fermi level: 3.142 states/eV/f.u.



Q | Density functional theory data (PBE) for a relaxed structure of KRbNaHg2.

It has space group P4/mmm (No. 123), with a = 5.993 Å, b = 5.993 Å, c = 6.394 Å, α = 90.00°, β = 90.00° and γ = 90.00°. The inequivalent atoms are K at (0.000, 0.000, 0.000), Rb at (0.500, 0.500, 0.000), Na at (0.500, 0.500, 0.500) and Hg at (0.000, 0.500, 0.500).

For the theoretical density, the calculation gives 3.968 g/cm³. As for the density of states at the Fermi level: 3.176 states/eV/f.u.



R | Density functional theory data (PBE) for a relaxed structure of KRbNaHg2.

It has space group P4/mmm (No. 123), with a = 5.998 Å, b = 5.998 Å, c = 6.273 Å, α = 90.00°, β = 90.00° and γ = 90.00°. The inequivalent atoms are K at (0.000, 0.000, 0.000), Rb at (0.500, 0.500, 0.000), Na at (0.000, 0.000, 0.500) and Hg at (0.000, 0.500, 0.500).

For the theoretical density, the calculation gives 4.038 g/cm³. As for the density of states at the Fermi level: 3.112 states/eV/f.u.



The most stable of them is P.



P | Density functional theory data (PBE) for a relaxed structure of K2RbNaHg.

It has space group Imm2 (No. 44), with a = 4.749 Å, b = 6.623 Å, c = 17.739 Å, α = 90.00°, β = 90.00° and γ = 90.00°. The inequivalent atoms are K at (0.000, 0.000, 0.000), K at (0.000, 0.000, 0.314), Rb at (0.000, 0.000, 0.575), Na at (0.000, 0.000, 0.781) and Hg at (0.000, 0.500, 0.666).

For the theoretical density, the calculation gives 2.305 g/cm³. As for the density of states at the Fermi level: 3.886 states/eV/f.u.



Q | Density functional theory data (PBE) for a relaxed structure of K2RbNaHg.

It has space group P4/mmm (No. 123), with a = 6.730 Å, b = 6.730 Å, c = 6.972 Å, α = 90.00°, β = 90.00° and γ = 90.00°. The inequivalent atoms are K at (0.000, 0.500, 0.000), Rb at (0.000, 0.000, 0.500), Na at (0.500, 0.500, 0.500) and Hg at (0.000, 0.000, 0.000).

For the theoretical density, the calculation gives 2.036 g/cm³. As for the density of states at the Fermi level: 4.681 states/eV/f.u.



R | Density functional theory data (PBE) for a relaxed structure of K2RbNaHg.

It has space group P4/mmm (No. 123), with a = 6.811 Å, b = 6.811 Å, c = 6.243 Å, α = 90.00°, β = 90.00° and γ = 90.00°. The inequivalent atoms are K at (0.000, 0.500, 0.000), Rb at (0.000, 0.000, 0.500), Na at (0.500, 0.500, 0.500) and Hg at (0.500, 0.500, 0.000).

For the theoretical density, the calculation gives 2.220 g/cm³. As for the density of states at the Fermi level: 3.733 states/eV/f.u.



The most stable of them is R.



P | Density functional theory data (PBE) for a relaxed structure of KRb2NaHg.

It has space group P4/mmm (No. 123), with a = 7.083 Å, b = 7.083 Å, c = 6.208 Å, α = 90.00°, β = 90.00° and γ = 90.00°. The inequivalent atoms are K at (0.000, 0.000, 0.000), Rb at (0.000, 0.500, 0.500), Na at (0.500, 0.500, 0.000) and Hg at (0.500, 0.500, 0.500).

For the theoretical density, the calculation gives 2.312 g/cm³. As for the density of states at the Fermi level: 3.854 states/eV/f.u.



Q | Density functional theory data (PBE) for a relaxed structure of KRb2NaHg.

It has space group Imm2 (No. 44), with a = 5.566 Å, b = 6.423 Å, c = 16.958 Å, α = 90.00°, β = 90.00° and γ = 90.00°. The inequivalent atoms are K at (0.000, 0.000, 0.000), Rb at (0.000, 0.000, 0.261), Rb at (0.000, 0.000, 0.525), Na at (0.000, 0.000, 0.776) and Hg at (0.000, 0.500, 0.375).

For the theoretical density, the calculation gives 2.376 g/cm³. As for the density of states at the Fermi level: 3.548 states/eV/f.u.



R | Density functional theory data (PBE) for a relaxed structure of KRb2NaHg.

It has space group P4/mmm (No. 123), with a = 7.011 Å, b = 7.011 Å, c = 6.754 Å, α = 90.00°, β = 90.00° and γ = 90.00°. The inequivalent atoms are K at (0.000, 0.000, 0.000), Rb at (0.000, 0.500, 0.500), Na at (0.500, 0.500, 0.000) and Hg at (0.000, 0.000, 0.500).

For the theoretical density, the calculation gives 2.169 g/cm³. As for the density of states at the Fermi level: 4.943 states/eV/f.u.



The most stable of them is P.